#one
The following is a DFT calculation (GGA-PBE) of crystalline InGaBi2 at its relaxed geometry.

Output
magnetization	0.0	μB/f.u.
crystal system	cubic

a b c (Å): 5.410 5.410 5.410
angles (deg): 60.00 60.00 60.00
Fractional positions:
In: 0.000 0.000 0.000
Ga: 0.500 0.500 0.500
Bi: 0.250 0.250 0.250
Bi: 0.750 0.750 0.750

=====

#two
The following is a DFT calculation (GGA-PBE) of crystalline InGaBi2 at its relaxed geometry.

Output
magnetization	0.0	μB/f.u.
crystal system	trigonal

a b c (Å): 7.659 7.659 7.659
angles (deg): 32.72 32.72 32.72
Fractional positions:
In: 0.000 0.000 0.000
Ga: 0.500 0.500 0.500
Bi: 0.243 0.243 0.243
Bi: 0.757 0.757 0.757

=====

#three
The following is a DFT calculation (GGA-PBE) of crystalline InGaBi2 at its relaxed geometry.

Output
magnetization	0.0	μB/f.u.
crystal system	tetragonal

a b c (Å): 4.990 4.990 4.558
angles (deg): 90.00 90.00 90.00
Fractional positions:
In: 0.000 0.000 0.000
Ga: 0.500 0.500 0.000
Bi: 0.000 0.500 0.500
Bi: 0.500 0.000 0.500

=====

#four
The following is a DFT calculation (GGA-PBE) of crystalline InGaBi2 at its relaxed geometry.

Output
magnetization	0.0	μB/f.u.
crystal system	triclinic

a b c (Å): 4.455 4.465 11.903
angles (deg): 87.40 86.97 77.25
Fractional positions:
In: 0.093 0.092 0.199
In: 0.907 0.908 0.801
Ga: 0.435 0.434 0.321
Ga: 0.565 0.566 0.679
Bi: 0.194 0.193 0.583
Bi: 0.330 0.334 0.918
Bi: 0.670 0.666 0.082
Bi: 0.806 0.807 0.417

=====

Stability summary - winner: #four; margin: 27 meV per atom.